# 1
A plane-wave DFT calculation with GGA-PBE was carried out for an optimized crystal structure of ScTe2Se.

Lattice parameters (Å, degrees): 7.0260 7.0260 7.0260 145.74 145.74 49.23
Last column: nearest neighbours and their distance in Å.
Atoms (fractional coordinates):
Sc (0.0000, 0.0000, 0.0000)  4 Se 2.93
Te (0.2500, 0.7500, 0.5000)  4 Te 2.93
Te (0.7500, 0.2500, 0.5000)  4 Te 2.93
Se (0.5000, 0.5000, 0.0000)  4 Sc 2.93

Values from the calculation:
For the total energy, the calculation gives -4.46 eV/atom. For the density of states at the Fermi level, the calculation gives 0.36 states/eV/atom. Its space-group type is No. 139.

***

# 2
A plane-wave DFT calculation with GGA-PBE was carried out for an optimized crystal structure of ScTe2Se.

Lattice parameters (Å, degrees): 5.1735 5.1735 5.1735 60.00 60.00 60.00
Last column: nearest neighbours and their distance in Å.
Atoms (fractional coordinates):
Sc (0.0000, 0.0000, 0.0000)  4 Se 3.17, 4 Te 3.17
Te (0.5000, 0.5000, 0.5000)  4 Te 3.17, 4 Se 3.17
Te (0.7500, 0.7500, 0.7500)  4 Te 3.17, 4 Sc 3.17
Se (0.2500, 0.2500, 0.2500)  4 Te 3.17, 4 Sc 3.17

Values from the calculation:
For the total energy, the calculation gives -4.29 eV/atom. For the density of states at the Fermi level, the calculation gives 1.37 states/eV/atom. Its space-group type is No. 216.

***

# 3
A plane-wave DFT calculation with GGA-PBE was carried out for an optimized crystal structure of Sc3Te2Se.

Lattice parameters (Å, degrees): 8.2075 8.2075 5.6281 90.00 90.00 66.24
Last column: nearest neighbours and their distance in Å.
Atoms (fractional coordinates):
Sc (0.1330, 0.5369, 0.2500)  1 Se 2.65, 3 Te 2.86-2.88
Sc (0.1528, 0.8472, 0.7500)  3 Se 2.67-2.81, 2 Te 2.88
Sc (0.4631, 0.8670, 0.2500)  1 Se 2.65, 3 Te 2.86-2.88
Sc (0.5369, 0.1330, 0.7500)  1 Se 2.65, 3 Te 2.86-2.88
Sc (0.8472, 0.1528, 0.2500)  3 Se 2.67-2.81, 2 Te 2.88
Sc (0.8670, 0.4631, 0.7500)  1 Se 2.65, 3 Te 2.86-2.88
Te (0.2096, 0.4768, 0.7500)  5 Sc 2.86-3.01
Te (0.4768, 0.2096, 0.2500)  5 Sc 2.86-3.01
Te (0.5232, 0.7904, 0.7500)  5 Sc 2.86-3.01
Te (0.7904, 0.5232, 0.2500)  5 Sc 2.86-3.01
Se (0.1448, 0.8552, 0.2500)  5 Sc 2.65-2.81
Se (0.8552, 0.1448, 0.7500)  5 Sc 2.65-2.81

Values from the calculation:
The offset from the most stable computed form comes out at 200.3 meV per atom. For the density of states at the Fermi level, the calculation gives 1.27 states/eV/atom. Its space-group type is No. 63.

***

# 4
A plane-wave DFT calculation with GGA-PBE was carried out for an optimized crystal structure of ScTeSe.

Lattice parameters (Å, degrees): 16.6245 4.0883 4.0883 90.00 90.00 90.00
Last column: nearest neighbours and their distance in Å.
Atoms (fractional coordinates):
Sc (0.1254, 0.2500, 0.2492)  4 Se 2.92, 5 Te 3.07-3.11
Sc (0.3746, 0.7500, 0.7492)  4 Se 2.92, 5 Te 3.07-3.11
Sc (0.6254, 0.2500, 0.2508)  4 Se 2.92, 5 Te 3.07-3.11
Sc (0.8746, 0.7500, 0.7508)  4 Se 2.92, 5 Te 3.07-3.11
Te (0.1874, 0.7500, 0.7491)  5 Sc 3.07-3.11
Te (0.3126, 0.2500, 0.2491)  5 Sc 3.07-3.11
Te (0.6874, 0.7500, 0.7509)  5 Sc 3.07-3.11
Te (0.8126, 0.2500, 0.2509)  5 Sc 3.07-3.11
Se (0.0000, 0.2500, 0.7500)  4 Se 2.89, 4 Sc 2.92
Se (0.0000, 0.7500, 0.2500)  4 Se 2.89, 4 Sc 2.92
Se (0.5000, 0.2500, 0.7500)  4 Se 2.89, 4 Sc 2.92
Se (0.5000, 0.7500, 0.2500)  4 Se 2.89, 4 Sc 2.92

Values from the calculation:
The offset from the most stable computed form comes out at 158.2 meV per atom. For the density of states at the Fermi level, the calculation gives 0.25 states/eV/atom. Its space-group type is No. 62.

***

# 5
A plane-wave DFT calculation with GGA-PBE was carried out for an optimized crystal structure of ScTeSe.

Lattice parameters (Å, degrees): 6.2241 6.2241 6.2241 147.50 146.43 47.42
Last column: nearest neighbours and their distance in Å.
Atoms (fractional coordinates):
Sc (0.0000, 0.0000, 0.0000)  4 Se 2.77
Te (0.6760, 0.6760, 0.0000)  5 Se 3.19-3.55, 4 Sc 3.21, 2 Te 3.48
Se (0.3966, 0.3966, 0.0000)  4 Sc 2.77

Values from the calculation:
The offset from the most stable computed form comes out at 245.5 meV per atom. For the density of states at the Fermi level, the calculation gives 0.46 states/eV/atom. Its space-group type is No. 44.

***

# 6
A plane-wave DFT calculation with GGA-PBE was carried out for an optimized crystal structure of Sc6Te2Se.

Lattice parameters (Å, degrees): 6.0623 6.0623 9.2829 93.23 93.23 37.18
Last column: nearest neighbours and their distance in Å.
Atoms (fractional coordinates):
Sc (0.0465, 0.0465, 0.2871)  1 Se 2.69
Sc (0.3562, 0.3562, 0.0609)  2 Se 2.63
Sc (0.3636, 0.3636, 0.4564)  3 Te 2.96-3.04, 3 Sc 3.19
Sc (0.6364, 0.6364, 0.5436)  3 Te 2.96-3.04, 3 Sc 3.19
Sc (0.6438, 0.6438, 0.9391)  2 Se 2.63
Sc (0.9535, 0.9535, 0.7129)  1 Se 2.69
Te (0.2533, 0.2533, 0.7458)  8 Sc 2.96-3.09
Te (0.7467, 0.7467, 0.2542)  8 Sc 2.96-3.09
Se (0.0000, 0.0000, 0.0000)  6 Sc 2.63-2.69

Values from the calculation:
For the total energy, the calculation gives -6.20 eV/atom. For the density of states at the Fermi level, the calculation gives 0.88 states/eV/atom. Its space-group type is No. 12.

***

# 7
A plane-wave DFT calculation with GGA-PBE was carried out for an optimized crystal structure of Sc4Te3Se2.

Lattice parameters (Å, degrees): 7.1480 7.1480 9.3754 101.60 101.60 31.99
Last column: nearest neighbours and their distance in Å.
Atoms (fractional coordinates):
Sc (0.1521, 0.1521, 0.0851)  3 Se 2.74-2.78, 3 Te 2.86-3.00
Sc (0.3200, 0.3200, 0.3900)  2 Se 2.76, 3 Te 2.87-2.89
Sc (0.6800, 0.6800, 0.6100)  2 Se 2.76, 3 Te 2.87-2.89
Sc (0.8479, 0.8479, 0.9149)  3 Se 2.74-2.78, 3 Te 2.86-3.00
Te (0.1105, 0.1105, 0.3864)  4 Sc 2.87-3.00
Te (0.5000, 0.5000, 0.0000)  4 Sc 2.86
Te (0.8895, 0.8895, 0.6136)  4 Sc 2.87-3.00
Se (0.2060, 0.2060, 0.8202)  5 Sc 2.74-2.78
Se (0.7940, 0.7940, 0.1798)  5 Sc 2.74-2.78

Values from the calculation:
For the total energy, the calculation gives -5.94 eV/atom. For the density of states at the Fermi level, the calculation gives 0.80 states/eV/atom. Its space-group type is No. 12.

***

# 8
A plane-wave DFT calculation with GGA-PBE was carried out for an optimized crystal structure of Sc3TeSe.

Lattice parameters (Å, degrees): 6.4752 3.9182 8.9377 90.00 94.75 90.00
Last column: nearest neighbours and their distance in Å.
Atoms (fractional coordinates):
Sc (0.0194, 0.2500, 0.1704)  3 Se 2.70-2.73, 2 Te 2.97
Sc (0.3064, 0.7500, 0.4169)  4 Te 3.00-3.34, 1 Se 3.05, 2 Sc 3.30
Sc (0.4792, 0.7500, 0.8241)  3 Se 2.69-2.74, 2 Te 2.96
Sc (0.5208, 0.2500, 0.1759)  3 Se 2.69-2.74, 2 Te 2.96
Sc (0.6936, 0.2500, 0.5831)  4 Te 3.00-3.34, 1 Se 3.05, 2 Sc 3.30
Sc (0.9806, 0.7500, 0.8296)  3 Se 2.70-2.73, 2 Te 2.97
Te (0.2074, 0.2500, 0.6547)  7 Sc 2.96-3.26
Te (0.7926, 0.7500, 0.3453)  7 Sc 2.96-3.26
Se (0.2621, 0.7500, 0.0740)  6 Sc 2.69-2.74
Se (0.7379, 0.2500, 0.9260)  6 Sc 2.69-2.74

Values from the calculation:
The offset from the most stable computed form comes out at 0.0 meV per atom. For the density of states at the Fermi level, the calculation gives 1.01 states/eV/atom. Its space-group type is No. 11.

***

# 9
A plane-wave DFT calculation with GGA-PBE was carried out for an optimized crystal structure of ScTeSe2.

Lattice parameters (Å, degrees): 7.0798 7.0798 7.0798 147.48 147.48 46.65
Last column: nearest neighbours and their distance in Å.
Atoms (fractional coordinates):
Sc (0.0000, 0.0000, 0.0000)  4 Te 2.80
Te (0.5000, 0.5000, 0.0000)  4 Sc 2.80
Se (0.2500, 0.7500, 0.5000)  4 Se 2.80
Se (0.7500, 0.2500, 0.5000)  4 Se 2.80

Values from the calculation:
For the total energy, the calculation gives -4.49 eV/atom. For the density of states at the Fermi level, the calculation gives 0.38 states/eV/atom. Its space-group type is No. 139.

***

# 10
A plane-wave DFT calculation with GGA-PBE was carried out for an optimized crystal structure of ScTe2Se.

Lattice parameters (Å, degrees): 7.2789 7.2789 7.2789 147.45 147.45 46.70
Last column: nearest neighbours and their distance in Å.
Atoms (fractional coordinates):
Sc (0.0000, 0.0000, 0.0000)  4 Te 2.89
Te (0.5000, 0.5000, 0.0000)  4 Sc 2.89
Te (0.7500, 0.2500, 0.5000)  4 Se 2.89
Se (0.2500, 0.7500, 0.5000)  4 Te 2.89

Values from the calculation:
For the total energy, the calculation gives -4.43 eV/atom. For the density of states at the Fermi level, the calculation gives 0.38 states/eV/atom. Its space-group type is No. 119.

***

# 11
A plane-wave DFT calculation with GGA-PBE was carried out for an optimized crystal structure of ScTe2Se.

Lattice parameters (Å, degrees): 8.0904 8.0904 8.0904 151.57 151.17 40.94
Last column: nearest neighbours and their distance in Å.
Atoms (fractional coordinates):
Sc (0.0000, 0.0000, 0.0000)  2 Se 2.93, 6 Te 3.07-3.12
Te (0.3431, 0.8431, 0.5000)  4 Se 2.84, 2 Sc 3.12
Te (0.5778, 0.5778, 0.0000)  4 Sc 3.07
Se (0.8582, 0.3582, 0.5000)  4 Te 2.84, 2 Sc 2.93

Values from the calculation:
For the total energy, the calculation gives -4.76 eV/atom. For the density of states at the Fermi level, the calculation gives 0.25 states/eV/atom. Its space-group type is No. 44.

***

# 12
A plane-wave DFT calculation with GGA-PBE was carried out for an optimized crystal structure of ScTeSe2.

Lattice parameters (Å, degrees): 5.0402 5.0402 5.0402 60.00 60.00 60.00
Last column: nearest neighbours and their distance in Å.
Atoms (fractional coordinates):
Sc (0.0000, 0.0000, 0.0000)  4 Se 3.09, 4 Te 3.09
Te (0.2500, 0.2500, 0.2500)  4 Se 3.09, 4 Sc 3.09
Se (0.5000, 0.5000, 0.5000)  4 Se 3.09, 4 Te 3.09
Se (0.7500, 0.7500, 0.7500)  4 Se 3.09, 4 Sc 3.09

Values from the calculation:
For the total energy, the calculation gives -4.36 eV/atom. For the density of states at the Fermi level, the calculation gives 1.40 states/eV/atom. Its space-group type is No. 216.

***

# 13
A plane-wave DFT calculation with GGA-PBE was carried out for an optimized crystal structure of ScTeSe.

Lattice parameters (Å, degrees): 4.8510 4.8510 4.8510 60.00 60.00 60.00
Last column: nearest neighbours and their distance in Å.
Atoms (fractional coordinates):
Sc (0.0000, 0.0000, 0.0000)  4 Te 2.97, 4 Se 2.97
Te (0.7500, 0.7500, 0.7500)  4 Sc 2.97
Se (0.2500, 0.2500, 0.2500)  4 Sc 2.97

Values from the calculation:
The offset from the most stable computed form comes out at 324.5 meV per atom. For the density of states at the Fermi level, the calculation gives 0.84 states/eV/atom. Its space-group type is No. 216.

***

# 14
A plane-wave DFT calculation with GGA-PBE was carried out for an optimized crystal structure of Sc2TeSe2.

Lattice parameters (Å, degrees): 7.3571 7.3571 7.3571 144.94 144.94 50.42
Last column: nearest neighbours and their distance in Å.
Atoms (fractional coordinates):
Sc (0.1396, 0.1396, 0.0000)  4 Se 2.66
Sc (0.8604, 0.8604, 0.0000)  4 Se 2.66
Te (0.5000, 0.5000, 0.0000)  8 Sc 3.64, 8 Se 4.00
Se (0.2500, 0.7500, 0.5000)  4 Sc 2.66
Se (0.7500, 0.2500, 0.5000)  4 Sc 2.66

Values from the calculation:
The offset from the most stable computed form comes out at 444.6 meV per atom. For the density of states at the Fermi level, the calculation gives 0.00 states/eV/atom. Its space-group type is No. 139.

***

# 15
A plane-wave DFT calculation with GGA-PBE was carried out for an optimized crystal structure of ScTeSe2.

Lattice parameters (Å, degrees): 6.1513 6.1513 5.5381 100.08 100.08 33.73
Last column: nearest neighbours and their distance in Å.
Atoms (fractional coordinates):
Sc (0.0000, 0.0000, 0.0000)  4 Se 2.68
Te (0.5000, 0.5000, 0.5000)  2 Se 2.77
Se (0.3392, 0.3392, 0.8089)  2 Sc 2.68, 1 Te 2.77
Se (0.6608, 0.6608, 0.1911)  2 Sc 2.68, 1 Te 2.77

Values from the calculation:
For the total energy, the calculation gives -4.88 eV/atom. For the density of states at the Fermi level, the calculation gives 0.49 states/eV/atom. Its space-group type is No. 12.

***

# 16
A plane-wave DFT calculation with GGA-PBE was carried out for an optimized crystal structure of ScTeSe.

Lattice parameters (Å, degrees): 3.7266 3.7266 7.4095 90.00 90.00 120.00
Last column: nearest neighbours and their distance in Å.
Atoms (fractional coordinates):
Sc (0.0000, 0.0000, 0.0000)  3 Se 2.60
Te (0.6667, 0.3333, 0.7051)  3 Sc 3.07
Se (0.3333, 0.6667, 0.1960)  3 Sc 2.60

Values from the calculation:
The offset from the most stable computed form comes out at 108.2 meV per atom. For the density of states at the Fermi level, the calculation gives 0.41 states/eV/atom. Its space-group type is No. 156.

***

# 17
A plane-wave DFT calculation with GGA-PBE was carried out for an optimized crystal structure of ScTe2Se.

Lattice parameters (Å, degrees): 3.7956 3.7956 6.7778 90.00 90.00 90.00
Last column: nearest neighbours and their distance in Å.
Atoms (fractional coordinates):
Sc (0.0000, 0.0000, 0.0000)  8 Te 3.07, 2 Se 3.39
Te (0.5000, 0.5000, 0.2197)  1 Te 2.98, 4 Sc 3.07, 4 Se 3.29
Te (0.5000, 0.5000, 0.7803)  1 Te 2.98, 4 Sc 3.07, 4 Se 3.29
Se (0.0000, 0.0000, 0.5000)  8 Te 3.29, 2 Sc 3.39

Values from the calculation:
For the total energy, the calculation gives -4.51 eV/atom. For the density of states at the Fermi level, the calculation gives 0.46 states/eV/atom. Its space-group type is No. 123.

***

# 18
A plane-wave DFT calculation with GGA-PBE was carried out for an optimized crystal structure of ScTe2Se.

Lattice parameters (Å, degrees): 5.1154 5.1154 3.7576 90.00 90.00 90.00
Last column: nearest neighbours and their distance in Å.
Atoms (fractional coordinates):
Sc (0.0000, 0.0000, 0.0000)  8 Te 3.17
Te (0.0000, 0.5000, 0.5000)  4 Se 3.17, 4 Sc 3.17
Te (0.5000, 0.0000, 0.5000)  4 Se 3.17, 4 Sc 3.17
Se (0.5000, 0.5000, 0.0000)  8 Te 3.17

Values from the calculation:
For the total energy, the calculation gives -4.29 eV/atom. For the density of states at the Fermi level, the calculation gives 0.58 states/eV/atom. Its space-group type is No. 123.

***

# 19
A plane-wave DFT calculation with GGA-PBE was carried out for an optimized crystal structure of ScTeSe2.

Lattice parameters (Å, degrees): 6.4245 6.4245 6.4245 107.46 107.46 113.57
Last column: nearest neighbours and their distance in Å.
Atoms (fractional coordinates):
Sc (0.0000, 0.0000, 0.0000)  4 Se 2.66
Sc (0.7500, 0.2500, 0.5000)  4 Se 2.66
Te (0.2500, 0.7500, 0.5000)  4 Se 3.01
Te (0.5000, 0.5000, 0.0000)  4 Se 3.01
Se (0.0912, 0.6250, 0.9662)  2 Sc 2.66
Se (0.3750, 0.3412, 0.4662)  2 Sc 2.66
Se (0.6588, 0.1250, 0.0338)  2 Sc 2.66
Se (0.8750, 0.9088, 0.5338)  2 Sc 2.66

Values from the calculation:
For the total energy, the calculation gives -4.68 eV/atom. For the density of states at the Fermi level, the calculation gives 0.69 states/eV/atom. Its space-group type is No. 122.

***

# 20
A plane-wave DFT calculation with GGA-PBE was carried out for an optimized crystal structure of ScTe2Se.

Lattice parameters (Å, degrees): 9.4042 9.4042 9.4042 23.57 23.57 23.57
Last column: nearest neighbours and their distance in Å.
Atoms (fractional coordinates):
Sc (0.0000, 0.0000, 0.0000)  3 Se 2.61
Te (0.2573, 0.2573, 0.2573)  3 Sc 3.04, 3 Te 3.17
Te (0.5081, 0.5081, 0.5081)  3 Te 3.17
Se (0.7169, 0.7169, 0.7169)  3 Sc 2.61

Values from the calculation:
For the total energy, the calculation gives -4.64 eV/atom. For the density of states at the Fermi level, the calculation gives 0.98 states/eV/atom. Its space-group type is No. 160.